No. 1
Here is crystalline Be2TlRuS at its relaxed geometry from Alexandria. Energies are from PBE.

a b c (Å): 4.254 4.254 5.261
angles (deg): 90.00 90.00 90.00
Space group P4/mmm (No. 123)
Inequivalent atoms, fractional coordinates:
Be1 0.000 0.500 0.000 (multiplicity 2)
Tl1 0.000 0.000 0.500 (multiplicity 1)
Ru1 0.000 0.000 0.000 (multiplicity 1)
S1 0.500 0.500 0.500 (multiplicity 1)

Properties
The crystal system is tetragonal. The distance to the lowest polymorph of the same formula is 0 meV/atom. The calculation puts the total energy at -18.95 eV for the cell shown.

---

No. 2
Here is crystalline BeSbRu at its relaxed geometry from Alexandria. Energies are from PBE.

a b c (Å): 3.0835 3.0835 5.9024
angles (deg): 90.00 90.00 120.00
Space group P3m1 (No. 156)
Inequivalent atoms, fractional coordinates:
Be1 0.0000 0.0000 0.0000 (multiplicity 1)
Sb1 0.3333 0.6667 0.6095 (multiplicity 1)
Ru1 0.6667 0.3333 0.2629 (multiplicity 1)

Properties
The crystal system is trigonal. The distance to the lowest polymorph of the same formula is 317 meV/atom. The calculation puts the total energy at -16.23 eV for the cell shown.

---

No. 3
Here is crystalline BeSbRu4 at its relaxed geometry from Alexandria. Energies are from PBE.

a b c (Å): 7.258 7.258 7.258
angles (deg): 90.00 90.00 90.00
Space group F-43m (No. 216)
Inequivalent atoms, fractional coordinates:
Be1 0.000 0.000 0.000 (multiplicity 4)
Sb1 0.250 0.250 0.250 (multiplicity 4)
Ru1 0.125 0.125 0.625 (multiplicity 16)

Properties
The crystal system is cubic. The calculation puts the total energy at -163.92 eV for the cell shown.

---

No. 4
Here is crystalline BeSbRu2 at its relaxed geometry from Alexandria. Energies are from PBE.

a b c (Å): 3.079 3.079 5.958
angles (deg): 90.00 90.00 90.00
Space group P4/mmm (No. 123)
Inequivalent atoms, fractional coordinates:
Be1 0.000 0.000 0.000 (multiplicity 1)
Sb1 0.000 0.000 0.500 (multiplicity 1)
Ru1 0.500 0.500 0.228 (multiplicity 2)

Properties
The crystal system is tetragonal. The distance to the lowest polymorph of the same formula is 134 meV/atom. The calculation puts the total energy at -26.42 eV for the cell shown.

---

No. 5
Here is crystalline BeSbRu2 at its relaxed geometry from Alexandria. Energies are from PBE.

a b c (Å): 3.105 4.729 7.792
angles (deg): 90.00 90.00 90.00
Space group Immm (No. 71)
Inequivalent atoms, fractional coordinates:
Be1 0.000 0.000 0.000 (multiplicity 2)
Sb1 0.000 0.000 0.500 (multiplicity 2)
Ru1 0.000 0.500 0.287 (multiplicity 4)

Properties
The crystal system is orthorhombic. The distance to the lowest polymorph of the same formula is 210 meV/atom. The calculation puts the total energy at -52.23 eV for the cell shown.

---

No. 6
Here is crystalline BeSbRu at its relaxed geometry from Alexandria. Energies are from PBE.

a b c (Å): 5.719 5.719 5.719
angles (deg): 90.00 90.00 90.00
Space group F-43m (No. 216)
Inequivalent atoms, fractional coordinates:
Be1 0.000 0.000 0.000 (multiplicity 4)
Sb1 0.250 0.250 0.250 (multiplicity 4)
Ru1 0.250 0.250 0.750 (multiplicity 4)

Properties
The crystal system is cubic. The distance to the lowest polymorph of the same formula is 210 meV/atom. The calculation puts the total energy at -66.20 eV for the cell shown.